# GGA-PBE Sm3Tm4Sn4, relaxed
data_Sm3Tm4Sn4
_chemical_formula_sum 'Sm6 Tm8 Sn8'
_cell_length_a 4.252
_cell_length_b 9.232
_cell_length_c 16.729
_cell_angle_alpha 90.00
_cell_angle_beta 90.00
_cell_angle_gamma 90.00
_symmetry_space_group_name_H-M 'I m m m'
_symmetry_Int_Tables_number 71
_symmetry_space_group_name_Hall '-I 2 2'
loop_
_atom_site_label
_atom_site_type_symbol
_atom_site_fract_x
_atom_site_fract_y
_atom_site_fract_z
_atom_site_occupancy
Sm1 Sm 0.000 0.000 0.000 1
Sm2 Sm 0.000 0.500 0.109 1
Tm1 Tm 0.000 0.305 0.328 1
Sn1 Sn 0.000 0.000 0.246 1
Sn2 Sn 0.000 0.211 0.500 1
# DFT total energy = -107.88 eV/cell
# calculated formation energy = -5.89 eV per formula unit